1.
Below is crystalline Si3NiH at its relaxed geometry, with properties calculated at the PBE level.

Cell lengths 3.838, 3.838, 3.838 Å; angles 90.00, 90.00, 90.00 degrees
Element x y z (fractional)
Si: 0.000 0.000 0.500
Si: 0.000 0.500 0.000
Si: 0.500 0.000 0.000
Ni: 0.500 0.500 0.500
H: 0.000 0.000 0.000

## Properties
* space group: No. 221
* relative energy among the computed polymorphs: 0.000 eV/atom
* uncorrected energy: -4.62 eV per atom

=====

2.
Below is crystalline Si3NiH at its relaxed geometry, with properties calculated at the PBE level.

Cell lengths 4.341, 4.341, 4.341 Å; angles 90.00, 90.00, 90.00 degrees
Element x y z (fractional)
Si: 0.000 0.000 0.500
Si: 0.000 0.500 0.000
Si: 0.500 0.000 0.000
Ni: 0.000 0.000 0.000
H: 0.500 0.500 0.500

## Properties
* space group: No. 221
* relative energy among the computed polymorphs: 0.317 eV/atom
* uncorrected energy: -4.30 eV per atom

=====

3.
Below is crystalline TbSiNiH at its relaxed geometry, with properties calculated at the PBE level.

Cell lengths 3.904, 3.904, 7.286 Å; angles 90.00, 90.00, 90.00 degrees
Element x y z (fractional)
Tb: 0.250 0.250 0.165
Tb: 0.750 0.750 0.835
Si: 0.250 0.250 0.666
Si: 0.750 0.750 0.334
Ni: 0.250 0.750 0.500
Ni: 0.750 0.250 0.500
H: 0.250 0.750 0.000
H: 0.750 0.250 0.000

## Properties
* space group: No. 129
* uncorrected energy: -5.58 eV per atom

=====

4.
Below is crystalline SiTc2NiH at its relaxed geometry, with properties calculated at the PBE level.

Cell lengths 4.142, 4.142, 3.155 Å; angles 90.00, 90.00, 90.00 degrees
Element x y z (fractional)
Si: 0.000 0.000 0.000
Tc: 0.000 0.500 0.500
Tc: 0.500 0.000 0.500
Ni: 0.500 0.500 0.000
H: 0.500 0.500 0.500

## Properties
* space group: No. 123
* uncorrected energy: -7.17 eV per atom

=====

5.
Below is crystalline SiTcNi2H at its relaxed geometry, with properties calculated at the PBE level.

Cell lengths 3.591, 3.591, 3.913 Å; angles 90.00, 90.00, 90.00 degrees
Element x y z (fractional)
Si: 0.000 0.000 0.000
Tc: 0.500 0.500 0.000
Ni: 0.000 0.500 0.500
Ni: 0.500 0.000 0.500
H: 0.500 0.500 0.500

## Properties
* space group: No. 123
* uncorrected energy: -6.35 eV per atom

=====

6.
Below is crystalline ThSiNiH at its relaxed geometry, with properties calculated at the PBE level.

Cell lengths 4.121, 4.121, 4.109 Å; angles 90.00, 90.00, 120.00 degrees
Element x y z (fractional)
Th: 0.000 0.000 0.000
Si: 0.667 0.333 0.513
Ni: 0.333 0.667 0.470
H: 0.333 0.667 0.070

## Properties
* space group: No. 156
* uncorrected energy: -6.24 eV per atom

=====

7.
Below is crystalline Ti2SiNiH at its relaxed geometry, with properties calculated at the PBE level.

Cell lengths 3.928, 3.928, 3.730 Å; angles 90.00, 90.00, 90.00 degrees
Element x y z (fractional)
Ti: 0.000 0.500 0.000
Ti: 0.500 0.000 0.000
Si: 0.000 0.000 0.500
Ni: 0.500 0.500 0.500
H: 0.500 0.500 0.000

## Properties
* space group: No. 123
* uncorrected energy: -6.59 eV per atom

=====

8.
Below is crystalline TlSiNiH2 at its relaxed geometry, with properties calculated at the PBE level.

Cell lengths 3.659, 3.659, 4.844 Å; angles 90.00, 90.00, 90.00 degrees
Element x y z (fractional)
Tl: 0.000 0.000 0.000
Si: 0.500 0.500 0.500
Ni: 0.500 0.500 0.000
H: 0.000 0.500 0.500
H: 0.500 0.000 0.500

## Properties
* space group: No. 123
* uncorrected energy: -3.74 eV per atom

=====

The highest uncorrected energy belongs to which entry? TlSiNiH2

=====

What is the uncorrected energy in the second record? -4.30 eV per atom